No. 1
The following is a PBE calculation of a relaxed CdGaAu3 crystal, from the Alexandria database.

extended XYZ file:
```
5
Lattice="5.2415 0.0000 0.0000 0.0000 5.2415 0.0000 0.0000 0.0000 5.2415" Properties=species:S:1:pos:R:3 pbc="T T T"
Cd 0.0000 0.0000 0.0000
Au 0.0000 2.6207 0.0000
Au 0.0000 0.0000 2.6207
Au 2.6207 0.0000 0.0000
Ga 2.6207 2.6207 2.6207
```

Calculated values
E_form: 0.51 eV per atom
Uncorrected energy: -0.0823 Ha/atom
Space-group type: Pm-3m (221)
Distance to the lowest polymorph of the same formula: 663 meV/atom

***

No. 2
The following is a PBE calculation of a relaxed Cd5GaAu3 crystal, from the Alexandria database.

extended XYZ file:
```
18
Lattice="6.4529 0.0000 0.0000 -3.2265 6.9848 -2.3617 0.0000 -0.1079 9.2431" Properties=species:S:1:pos:R:3 pbc="T T T"
Au 0.1867 4.7479 4.5821
Au 0.0000 -0.0540 4.6216
Au -0.1867 4.8019 -0.0394
Au 0.0000 0.0000 0.0000
Au 3.4132 2.0750 6.9208
Au 3.0397 2.1290 2.2993
Cd -1.6084 4.5327 6.7883
Cd 4.9086 2.3512 4.5142
Cd 1.6821 4.4717 6.9888
Cd 4.8349 2.3442 0.0931
Cd -1.6821 4.5257 2.3672
Cd 1.5443 2.4052 -0.1074
Cd 4.8379 -0.0270 2.3108
Cd 1.6150 -0.0810 6.9323
Cd 1.6085 4.5866 2.1668
Cd 1.6180 2.2903 4.7146
Ga 1.4728 -0.0270 2.3108
Ga 4.9801 -0.0810 6.9323
```

Calculated values
E_form: -0.16 eV per atom
Uncorrected energy: -0.0770 Ha/atom
Space-group type: C2/c (15)
Distance to the lowest polymorph of the same formula: 0 meV/atom

***

No. 3
The following is a PBE calculation of a relaxed Cd4GaAu4 crystal, from the Alexandria database.

extended XYZ file:
```
9
Lattice="-1.6429 -1.4373 -4.9662 -1.8221 -4.9771 5.0060 -5.1728 0.5074 1.5644" Properties=species:S:1:pos:R:3 pbc="T T T"
Cd -3.2727 -3.0037 3.6401
Cd -4.4290 -2.0843 0.7937
Cd -7.1455 -3.5346 1.6986
Cd -2.4285 -3.1913 -2.9240
Au -2.0956 -1.3107 -0.7429
Au -4.7398 -1.6703 -2.0588
Au -5.9060 -4.0396 4.2702
Au -4.5343 -4.7932 1.7398
Ga 0.0000 0.0000 0.0000
```

Calculated values
E_form: -0.11 eV per atom
Uncorrected energy: -0.0849 Ha/atom
Space-group type: I-42m (121)

***

No. 4
The following is a PBE calculation of a relaxed Cd5GaAu3 crystal, from the Alexandria database.

extended XYZ file:
```
18
Lattice="-1.3339 5.1307 5.3648 -6.8831 -0.7055 3.0016 1.9430 -4.6629 6.9532" Properties=species:S:1:pos:R:3 pbc="T T T"
Cd -0.1777 -3.2789 8.5149
Cd -5.1064 1.1630 3.7582
Cd -3.1741 3.1279 8.5430
Cd -3.6317 0.7822 6.5962
Cd -2.6423 -1.0200 8.7235
Cd 0.1821 0.0860 8.1743
Cd -3.0999 -3.3657 6.7766
Cd -6.4561 -0.3238 7.1453
Cd -3.1105 3.2622 4.6082
Cd -6.0963 3.0411 6.8048
Au -2.3619 0.5678 4.1437
Au -4.8915 0.9446 9.1535
Au 0.9715 -2.3315 3.4766
Au -3.9122 -0.8056 11.1759
Au -1.3825 -1.1823 6.1662
Au 0.0000 0.0000 0.0000
Ga -6.8163 2.6486 9.4648
Ga 0.5423 -2.8864 5.8548
```

Calculated values
E_form: -0.03 eV per atom
Uncorrected energy: -0.0722 Ha/atom
Space-group type: C2/m (12)
Distance to the lowest polymorph of the same formula: 130 meV/atom

***

No. 5
The following is a PBE calculation of a relaxed Cd3GaAu4 crystal, from the Alexandria database.

extended XYZ file:
```
32
Lattice="-3.7791 4.2115 -1.0765 -6.0836 -3.7461 6.7007 4.8477 6.3878 7.9724" Properties=species:S:1:pos:R:3 pbc="T T T"
Au -1.8704 1.3864 6.5867
Au -4.6143 -0.3032 9.6089
Au -0.1698 8.7374 8.3101
Au -3.8829 4.8948 9.9500
Au -1.7711 4.6269 4.5583
Au -3.2438 2.2263 9.0383
Au 1.3615 5.0746 7.6527
Au -1.1321 1.9584 3.6466
Au -2.2601 3.3334 0.1623
Au -2.7549 3.5198 13.4343
Au -5.0040 1.6439 3.1845
Au -6.3764 1.7786 5.9439
Au -3.1446 5.4668 7.0099
Au -4.8451 -1.8842 5.2864
Au -0.4007 7.1564 3.9877
Au -0.0110 5.2093 10.4121
Cd -6.8482 1.2480 8.6854
Cd -2.8306 -0.1889 4.3704
Cd 0.1149 1.6250 1.1260
Cd -5.1299 5.2283 12.4706
Cd 1.8332 5.6052 4.9112
Cd -2.1843 7.0421 9.2262
Cd -5.5245 3.8790 7.8916
Cd -3.9026 3.0618 5.4410
Cd -1.1124 3.7914 8.1556
Cd 0.5096 2.9742 5.7050
Cd -2.2269 6.0991 12.1267
Cd -2.7881 0.7541 1.4699
Ga -3.5713 3.8399 2.4839
Ga -4.3484 0.3554 6.9895
Ga -0.6666 6.4978 6.6071
Ga -1.4437 3.0133 11.1127
```

Calculated values
E_form: -0.14 eV per atom
Uncorrected energy: -0.0920 Ha/atom
Space-group type: Pnma (62)
Distance to the lowest polymorph of the same formula: 0 meV/atom

***

No. 6
The following is a PBE calculation of a relaxed Cd2GaAu crystal, from the Alexandria database.

extended XYZ file:
```
8
Lattice="-2.6729 -2.1433 0.5247 2.6259 -1.7863 -4.1487 5.5021 -5.4361 5.8232" Properties=species:S:1:pos:R:3 pbc="T T T"
Au 2.0542 -2.7985 -0.5292
Au 3.4010 -6.5672 2.7284
Cd -0.7911 -2.0765 -0.5436
Cd 6.2463 -7.2892 2.7427
Cd 1.5174 -4.3573 1.8996
Cd 3.9378 -5.0084 0.2995
Ga 4.1890 -4.2766 4.1221
Ga 1.2662 -5.0891 -1.9230
```

Calculated values
E_form: -0.08 eV per atom
Uncorrected energy: -0.0778 Ha/atom
Space-group type: P2_1/m (11)

***

No. 7
The following is a PBE calculation of a relaxed Cd2Ga2Au7 crystal, from the Alexandria database.

extended XYZ file:
```
11
Lattice="-5.9782 -1.6562 2.6140 2.4866 -4.5820 -0.9200 3.9413 -1.0494 5.3553" Properties=species:S:1:pos:R:3 pbc="T T T"
Ga 0.7774 -1.4960 4.3950
Ga -0.3277 -5.7916 2.6542
Au -1.0629 -3.1422 3.3658
Au -1.9552 -1.7333 1.0307
Au -3.0747 -3.2203 5.4104
Au 2.4049 -5.5542 6.0186
Au 1.5126 -4.1454 3.6835
Au 0.0000 0.0000 0.0000
Au 3.5244 -4.0673 1.6388
Cd 0.8797 -2.7740 0.9626
Cd -0.4300 -4.5136 6.0866
```

Calculated values
E_form: -0.12 eV per atom
Uncorrected energy: -0.1075 Ha/atom
Space-group type: C2/m (12)
Distance to the lowest polymorph of the same formula: 9 meV/atom

***

No. 8
The following is a PBE calculation of a relaxed CdGa2Au2 crystal, from the Alexandria database.

extended XYZ file:
```
10
Lattice="-2.6030 0.5307 -7.0229 6.9732 -0.8566 -2.6493 -0.4640 -3.4930 -0.0920" Properties=species:S:1:pos:R:3 pbc="T T T"
Au 2.2563 -0.0964 -7.7206
Au 2.1139 -0.2294 -1.9516
Au -0.6751 0.2187 -4.8979
Au 5.0452 -0.5445 -4.7743
Cd 2.1851 -0.1629 -4.8361
Cd 0.0000 0.0000 0.0000
Ga -0.0391 -1.6976 -2.8749
Ga -0.0304 -1.5932 -6.8841
Ga 3.9366 -2.2257 -2.8800
Ga 3.9453 -2.1212 -6.8893
```

Calculated values
E_form: -0.09 eV per atom
Uncorrected energy: -0.1028 Ha/atom
Space-group type: P4/mbm (127)
Distance to the lowest polymorph of the same formula: 51 meV/atom

***

No. 9
The following is a PBE calculation of a relaxed Cd3GaAu3 crystal, from the Alexandria database.

extended XYZ file:
```
14
Lattice="-7.1214 -2.5344 1.2872 -0.4427 -2.4411 -7.2553 2.8079 -6.8127 2.1208" Properties=species:S:1:pos:R:3 pbc="T T T"
Ga 0.0000 0.0000 0.0000
Ga -2.3781 -5.8941 -1.9236
Au -2.0017 -1.8542 -3.3058
Au -2.8587 -2.9704 1.1738
Au 1.0719 -5.2372 -4.3811
Au -5.5624 -3.1214 -2.6622
Au 1.2933 -4.0166 -0.7534
Au -1.4548 -6.3767 2.2343
Cd -3.8927 -3.0980 -4.7979
Cd -0.3764 -4.0399 1.3822
Cd 1.8846 -6.3300 -2.0370
Cd 0.4806 -2.9237 -3.0974
Cd -3.9371 -5.3071 2.0258
Cd -3.6714 -1.8775 -1.1702
```

Calculated values
E_form: 0.33 eV per atom
Uncorrected energy: -0.0699 Ha/atom
Space-group type: Pm-3n (223)
Distance to the lowest polymorph of the same formula: 428 meV/atom

***

No. 10
The following is a PBE calculation of a relaxed CdGaAu2 crystal, from the Alexandria database.

extended XYZ file:
```
4
Lattice="3.7499 0.0000 0.0000 0.0000 4.4730 0.0000 0.0000 0.0000 4.4730" Properties=species:S:1:pos:R:3 pbc="T T T"
Ga 1.8749 0.0000 0.0000
Au 0.0000 0.0000 2.2365
Au 0.0000 2.2365 0.0000
Cd 1.8749 2.2365 2.2365
```

Calculated values
E_form: -0.10 eV per atom
Uncorrected energy: -0.1002 Ha/atom
Space-group type: P4/mmm (123)

***

Look up the uncorrected energy of the third one.
-0.0849 Ha/atom

***

Number 9 is which compound?
Cd3GaAu3